[1]
# Ca6ZnCd2

Crystalline Ca6ZnCd2 at its relaxed geometry (PBE-GGA, Alexandria).

a b c (Å): 9.181 9.181 9.181
angles (deg): 69.74 68.71 106.89
Atoms (fractional coordinates):
Cd (0.352, 0.000, 0.648)
Cd (0.648, 0.000, 0.352)
Ca (0.669, 0.951, 0.718)
Ca (0.331, 0.613, 0.718)
Ca (0.556, 0.749, 0.193)
Ca (0.669, 0.387, 0.282)
Zn (0.500, 0.500, 0.000)
Ca (0.823, 0.266, 0.910)
Cd (0.867, 0.367, 0.500)
Ca (0.331, 0.049, 0.282)
Zn (0.000, 0.000, 0.000)
Ca (0.177, 0.734, 0.090)
Cd (0.133, 0.633, 0.500)
Ca (0.059, 0.251, 0.193)
Ca (0.177, 0.266, 0.557)
Ca (0.941, 0.749, 0.807)
Ca (0.444, 0.251, 0.807)
Ca (0.823, 0.734, 0.443)

Output
excess energy over the best structure of this formula in the dataset = 0.051 eV per atom
total magnetic moment = 0.0000 μB per atom
DOS(E_F) = 9.78 states/eV/f.u.
E = -1.852 eV/atom



[2]
# Ca2ZnCd

Crystalline Ca2ZnCd at its relaxed geometry (PBE-GGA, Alexandria).

a b c (Å): 3.696 3.696 7.770
angles (deg): 90.00 90.00 90.00
Atoms (fractional coordinates):
Zn (0.500, 0.500, 0.000)
Cd (0.500, 0.500, 0.500)
Ca (0.000, 0.000, 0.237)
Ca (0.000, 0.000, 0.763)

Output
total magnetic moment = 0.0000 μB per atom
DOS(E_F) = 3.44 states/eV/f.u.
E = -1.837 eV/atom



[3]
# CaZn2Cd9

Crystalline CaZn2Cd9 at its relaxed geometry (PBE-GGA, Alexandria).

a b c (Å): 7.576 9.194 9.194
angles (deg): 80.23 65.67 65.67
Atoms (fractional coordinates):
Cd (0.998, 0.923, 0.681)
Cd (0.429, 0.819, 0.423)
Cd (0.672, 0.577, 0.181)
Ca (0.250, 0.500, 0.500)
Cd (0.321, 0.681, 0.077)
Cd (0.603, 0.319, 0.077)
Cd (0.429, 0.423, 0.819)
Cd (0.147, 0.423, 0.181)
Ca (0.500, 0.000, 0.000)
Cd (0.321, 0.077, 0.681)
Cd (0.078, 0.923, 0.319)
Zn (0.875, 0.250, 0.750)
Cd (0.672, 0.181, 0.577)
Cd (0.998, 0.681, 0.923)
Cd (0.750, 0.500, 0.500)
Zn (0.875, 0.250, 0.250)
Cd (0.147, 0.181, 0.423)
Cd (0.078, 0.319, 0.923)
Cd (0.603, 0.077, 0.319)
Cd (0.000, 0.000, 0.000)
Zn (0.875, 0.750, 0.250)
Zn (0.375, 0.750, 0.750)
Cd (0.752, 0.819, 0.577)
Cd (0.752, 0.577, 0.819)

Output
total magnetic moment = 0.0000 μB per atom
DOS(E_F) = 3.85 states/eV/f.u.
E = -1.156 eV/atom



Q: Which of these has the lowest DOS(E_F)?
A: Ca2ZnCd



Q: Among the records above, which one has the highest E?
A: CaZn2Cd9